Entry 1:
VASP calculation (PBE-GGA) on a relaxed structure of SrTa2In.

Calculated values
**Total magnetic moment**: 0.000 μB per formula unit
**Calculated volume**: 192 Å³ per cell
**Density**: 9.76 g/cm³

```
data_SrTa2In
_cell_length_a 11.2956
_cell_length_b 3.0527
_cell_length_c 5.6908
_cell_angle_alpha 90.00
_cell_angle_beta 101.83
_cell_angle_gamma 90.00
_symmetry_space_group_name_H-M 'C 1 2/m 1'
_symmetry_Int_Tables_number 12
loop_
_symmetry_equiv_pos_as_xyz
'x,y,z'
'-x,-y,-z'
'-x,y,-z'
'x,-y,z'
'x+1/2,y+1/2,z'
'-x+1/2,-y+1/2,-z'
'-x+1/2,y+1/2,-z'
'x+1/2,-y+1/2,z'
loop_
_atom_site_label
_atom_site_type_symbol
_atom_site_fract_x
_atom_site_fract_y
_atom_site_fract_z
Sr1 Sr 0.0000 0.0000 0.0000
Ta1 Ta 0.2262 0.0000 0.6892
In1 In 0.0000 0.5000 0.5000
```

Entry 2:
VASP calculation (PBE-GGA) on a relaxed structure of Sr2TaIn.

Calculated values
**Total magnetic moment**: 0.502 μB per formula unit
**Calculated volume**: 232 Å³ per cell
**Density**: 6.73 g/cm³

```
data_Sr2TaIn
_cell_length_a 11.5364
_cell_length_b 3.3561
_cell_length_c 6.0824
_cell_angle_alpha 90.00
_cell_angle_beta 99.36
_cell_angle_gamma 90.00
_symmetry_space_group_name_H-M 'C 1 2/m 1'
_symmetry_Int_Tables_number 12
loop_
_symmetry_equiv_pos_as_xyz
'x,y,z'
'-x,-y,-z'
'-x,y,-z'
'x,-y,z'
'x+1/2,y+1/2,z'
'-x+1/2,-y+1/2,-z'
'-x+1/2,y+1/2,-z'
'x+1/2,-y+1/2,z'
loop_
_atom_site_label
_atom_site_type_symbol
_atom_site_fract_x
_atom_site_fract_y
_atom_site_fract_z
Sr1 Sr 0.2491 0.0000 0.2455
Ta1 Ta 0.0000 0.5000 0.0000
In1 In 0.0000 0.0000 0.5000
```

Entry 3:
VASP calculation (PBE-GGA) on a relaxed structure of Sr2TaIn.

Calculated values
**Total magnetic moment**: 1.480 μB per formula unit
**Calculated volume**: 133 Å³ per cell
**Density**: 5.86 g/cm³

```
data_Sr2TaIn
_cell_length_a 3.6626
_cell_length_b 3.9742
_cell_length_c 9.1675
_cell_angle_alpha 90.00
_cell_angle_beta 90.00
_cell_angle_gamma 90.00
_symmetry_space_group_name_H-M 'P m m 2'
_symmetry_Int_Tables_number 25
loop_
_symmetry_equiv_pos_as_xyz
'x,y,z'
'-x,-y,z'
'-x,y,z'
'x,-y,z'
loop_
_atom_site_label
_atom_site_type_symbol
_atom_site_fract_x
_atom_site_fract_y
_atom_site_fract_z
Sr1 Sr 0.0000 0.0000 0.0000
Sr2 Sr 0.5000 0.5000 0.3824
Ta1 Ta 0.0000 0.0000 0.6326
In1 In 0.5000 0.5000 0.7502
```

| no. | formation energy from the elements (eV/atom) |
| --- | --- |
| 1 | 0.60 |
| 2 | 0.73 |
| 3 | 0.43 |